1.
The following is a DFT calculation (PBE) of crystalline LiCaNi at its relaxed geometry.

a = 7.0918 Å, b = 4.1148 Å, c = 10.3498 Å
α = 90.00°, β = 124.57°, γ = 90.00°
Last column: nearest neighbours and their distance in Å.
Fractional positions:
Li  0.5882  0.5000  0.7068  3 Ni 2.62-2.65, 2 Li 2.80
Li  0.4118  0.5000  0.2932  3 Ni 2.62-2.65, 2 Li 2.80
Li  0.4118  0.0000  0.7932  3 Ni 2.62-2.65, 2 Li 2.80
Li  0.5882  0.0000  0.2068  3 Ni 2.62-2.65, 2 Li 2.80
Ca  0.8268  0.0000  0.5743  5 Ni 2.95-3.03, 1 Li 3.17
Ca  0.1732  0.0000  0.4257  5 Ni 2.95-3.03, 1 Li 3.17
Ca  0.1732  0.5000  0.9257  5 Ni 2.95-3.03, 1 Li 3.17
Ca  0.8268  0.5000  0.0743  5 Ni 2.95-3.03, 1 Li 3.17
Ni  0.1614  0.5000  0.6279  1 Ni 2.32
Ni  0.8386  0.5000  0.3721  1 Ni 2.32
Ni  0.1614  0.0000  0.1279  1 Ni 2.32
Ni  0.8386  0.0000  0.8721  1 Ni 2.32

M_tot, μB per formula unit: 0.00
Volume, Å³/f.u.: 62.2
Formation enthalpy at 0 K, meV/atom: -55



2.
The following is a DFT calculation (PBE) of crystalline Li2CaNi at its relaxed geometry.

a = 4.7692 Å, b = 4.7692 Å, c = 4.7692 Å
α = 121.03°, β = 118.93°, γ = 90.05°
Last column: nearest neighbours and their distance in Å.
Fractional positions:
Ca  0.2524  0.7524  0.5000  4 Li 2.90-2.94, 4 Ni 2.92-2.93
Li  0.7457  0.2457  0.5000  4 Ni 2.83-3.02, 4 Li 2.87-2.97
Li  0.9899  0.9899  0.0000  4 Li 2.87-2.97, 4 Ca 2.90-2.94
Ni  0.5120  0.5120  0.0000  4 Li 2.83-3.02, 4 Ca 2.92-2.93

M_tot, μB per formula unit: 0.00
Volume, Å³/f.u.: 76.7
Formation enthalpy at 0 K, meV/atom: 93



3.
The following is a DFT calculation (PBE) of crystalline Li2CaNi at its relaxed geometry.

a = 3.9872 Å, b = 3.9872 Å, c = 10.5304 Å
α = 79.09°, β = 79.09°, γ = 90.00°
Last column: nearest neighbours and their distance in Å.
Fractional positions:
Li  0.3750  0.9308  0.7500  2 Li 2.52
Li  0.6808  0.6250  0.2500  2 Li 2.52
Li  0.0692  0.1250  0.2500  2 Li 2.52
Li  0.8750  0.3192  0.7500  2 Li 2.52
Ni  0.7500  0.2500  0.5000  4 Ca 2.82, 4 Li 2.83
Ni  0.0000  0.0000  0.0000  4 Ca 2.82, 4 Li 2.83
Ca  0.2500  0.7500  0.5000  4 Ni 2.82, 4 Li 2.99
Ca  0.5000  0.5000  0.0000  4 Ni 2.82, 4 Li 2.99

M_tot, μB per formula unit: 0.00
Volume, Å³/f.u.: 80.6
Formation enthalpy at 0 K, meV/atom: 170



4.
The following is a DFT calculation (PBE) of crystalline LiCa6Ni at its relaxed geometry.

a = 6.9873 Å, b = 7.3819 Å, c = 6.9611 Å
α = 57.98°, β = 80.40°, γ = 71.67°
Last column: nearest neighbours and their distance in Å.
Fractional positions:
Ca  0.7164  0.7471  0.0000  1 Ni 2.71
Ca  0.7429  0.4717  0.6509  1 Ni 2.79
Ca  0.2571  0.5283  0.3491  1 Ni 2.79
Ca  0.2836  0.2529  0.0000  1 Ni 2.71
Ca  0.7429  0.1226  0.3491  1 Ni 2.79
Ca  0.2571  0.8774  0.6509  1 Ni 2.79
Li  0.0000  0.0000  0.0000  6 Ca 3.12-3.13
Ni  0.5000  0.5000  0.0000  6 Ca 2.71-2.79

M_tot, μB per formula unit: 0.00
Volume, Å³/f.u.: 289.0
Formation enthalpy at 0 K, meV/atom: 37



5.
The following is a DFT calculation (PBE) of crystalline Li2CaNi at its relaxed geometry.

a = 4.6908 Å, b = 4.6908 Å, c = 4.6908 Å
α = 60.00°, β = 60.00°, γ = 60.00°
Last column: nearest neighbours and their distance in Å.
Fractional positions:
Li  0.7500  0.7500  0.7500  4 Ni 2.87, 4 Ca 2.87
Li  0.2500  0.2500  0.2500  4 Ni 2.87, 4 Ca 2.87
Ca  0.0000  0.0000  0.0000  8 Li 2.87
Ni  0.5000  0.5000  0.5000  8 Li 2.87

M_tot, μB per formula unit: 0.00
Volume, Å³/f.u.: 73.0
Formation enthalpy at 0 K, meV/atom: 137



6.
The following is a DFT calculation (PBE) of crystalline Li2CaNi at its relaxed geometry.

a = 5.4246 Å, b = 5.4246 Å, c = 5.4246 Å
α = 136.38°, β = 136.38°, γ = 63.39°
Last column: nearest neighbours and their distance in Å.
Fractional positions:
Li  0.5000  0.5000  0.0000  4 Li 2.85, 4 Ca 3.06, 4 Ni 3.06
Li  0.0000  0.0000  0.0000  4 Li 2.85, 4 Ni 3.06, 4 Ca 3.06
Ca  0.7500  0.2500  0.5000  4 Ni 2.85, 8 Li 3.06
Ni  0.2500  0.7500  0.5000  4 Ca 2.85, 8 Li 3.06

M_tot, μB per formula unit: 0.00
Volume, Å³/f.u.: 75.0
Formation enthalpy at 0 K, meV/atom: 77



7.
The following is a DFT calculation (PBE) of crystalline LiCaNiP2 at its relaxed geometry.

a = 5.8251 Å, b = 5.1178 Å, c = 5.5323 Å
α = 90.00°, β = 90.00°, γ = 90.00°
Last column: nearest neighbours and their distance in Å.
Fractional positions:
P  0.7543  0.2500  0.2209  2 Ni 2.28, 1 P 2.44, 1 Li 2.48
P  0.7543  0.2500  0.7791  2 Ni 2.28, 1 P 2.44, 1 Li 2.48
P  0.2457  0.7500  0.7791  2 Ni 2.28, 1 P 2.44, 1 Li 2.48
P  0.2457  0.7500  0.2209  2 Ni 2.28, 1 P 2.44, 1 Li 2.48
Li  0.6153  0.7500  0.0000  2 P 2.48, 2 Ni 2.58
Li  0.3847  0.2500  0.0000  2 P 2.48, 2 Ni 2.58
Ni  0.0000  0.0000  0.0000  4 P 2.28
Ni  0.0000  0.5000  0.0000  4 P 2.28
Ca  0.2182  0.2500  0.5000  2 Li 2.93, 6 P 2.99-3.11
Ca  0.7818  0.7500  0.5000  2 Li 2.93, 6 P 2.99-3.11

M_tot, μB per formula unit: 0.00
Volume, Å³/f.u.: 82.5
Formation enthalpy at 0 K, meV/atom: -678



8.
The following is a DFT calculation (PBE) of crystalline LiCa2Ni3P4 at its relaxed geometry.

a = 4.0160 Å, b = 4.0160 Å, c = 9.3732 Å
α = 90.00°, β = 90.00°, γ = 90.00°
Last column: nearest neighbours and their distance in Å.
Fractional positions:
Ca  0.0000  0.5000  0.7520  8 P 3.03-3.07, 2 Li 3.10, 6 Ni 3.10
Ca  0.5000  0.0000  0.2480  8 P 3.03-3.07, 2 Li 3.10, 6 Ni 3.10
P  0.5000  0.0000  0.6399  3 Ni 2.30-2.40, 2 Li 2.40
P  0.5000  0.5000  0.0000  4 Ni 2.28
P  0.0000  0.0000  0.0000  4 Ni 2.28
P  0.0000  0.5000  0.3601  3 Ni 2.30-2.40, 2 Li 2.40
Ni  0.0000  0.0000  0.5000  4 P 2.40
Ni  0.0000  0.5000  0.1149  5 P 2.28-2.30
Ni  0.5000  0.0000  0.8851  5 P 2.28-2.30
Li  0.5000  0.5000  0.5000  4 P 2.40

M_tot, μB per formula unit: 0.00
Volume, Å³/f.u.: 151.2
Formation enthalpy at 0 K, meV/atom: -793



9.
The following is a DFT calculation (PBE) of crystalline LiCa2NiP2 at its relaxed geometry.

a = 5.7228 Å, b = 5.6451 Å, c = 7.8171 Å
α = 111.17°, β = 111.47°, γ = 90.00°
Last column: nearest neighbours and their distance in Å.
Fractional positions:
Ca  0.9142  0.6632  0.3265  5 P 2.87-3.09, 2 Li 2.97, 2 Ni 2.97
Ca  0.4122  0.1632  0.3265  5 P 2.87-3.09, 2 Li 2.97, 2 Ni 2.97
Ca  0.0858  0.3368  0.6735  5 P 2.87-3.09, 2 Li 2.97, 2 Ni 2.97
Ca  0.5878  0.8368  0.6735  5 P 2.87-3.09, 2 Li 2.97, 2 Ni 2.97
P  0.6267  0.3936  0.7872  2 Ni 2.41, 2 Li 2.52
P  0.1605  0.8936  0.7872  2 Ni 2.41, 2 Li 2.52
P  0.8395  0.1064  0.2128  2 Ni 2.41, 2 Li 2.52
P  0.3733  0.6064  0.2128  2 Ni 2.41, 2 Li 2.52
Ni  0.5000  0.2500  0.0000  4 P 2.41
Ni  0.5000  0.7500  0.0000  4 P 2.41
Li  0.0000  0.7500  0.0000  4 P 2.52, 2 Li 2.82
Li  0.0000  0.2500  0.0000  4 P 2.52, 2 Li 2.82

M_tot, μB per formula unit: 0.56
Volume, Å³/f.u.: 108.3
Formation enthalpy at 0 K, meV/atom: -875



10.
The following is a DFT calculation (PBE) of crystalline LiCaNiPd at its relaxed geometry.

a = 4.5425 Å, b = 4.5425 Å, c = 4.5425 Å
α = 60.00°, β = 60.00°, γ = 60.00°
Last column: nearest neighbours and their distance in Å.
Fractional positions:
Li  0.5000  0.5000  0.5000  4 Pd 2.78, 4 Ca 2.78
Ni  0.0000  0.0000  0.0000  4 Ca 2.78, 4 Pd 2.78
Pd  0.7500  0.7500  0.7500  4 Li 2.78, 4 Ni 2.78
Ca  0.2500  0.2500  0.2500  4 Li 2.78, 4 Ni 2.78

M_tot, μB per formula unit: 0.00
Volume, Å³/f.u.: 66.3
Formation enthalpy at 0 K, meV/atom: -205



11.
The following is a DFT calculation (PBE) of crystalline LiCa2NiPt at its relaxed geometry.

a = 5.4939 Å, b = 4.7249 Å, c = 5.4939 Å
α = 90.00°, β = 90.00°, γ = 90.00°
Last column: nearest neighbours and their distance in Å.
Fractional positions:
Ca  0.0000  0.0000  0.5000  2 Pt 2.75
Ca  0.5000  0.0000  0.0000  2 Pt 2.75
Pt  0.0000  0.0000  0.0000  2 Ni 2.36
Ni  0.0000  0.5000  0.0000  2 Pt 2.36
Li  0.5000  0.5000  0.5000  8 Ca 3.62, 4 Ni 3.88

M_tot, μB per formula unit: 0.41
Volume, Å³/f.u.: 142.6
Formation enthalpy at 0 K, meV/atom: -89



12.
The following is a DFT calculation (PBE) of crystalline LiCaNiPt at its relaxed geometry.

a = 4.4992 Å, b = 4.4992 Å, c = 4.4992 Å
α = 60.00°, β = 60.00°, γ = 60.00°
Last column: nearest neighbours and their distance in Å.
Fractional positions:
Li  0.0000  0.0000  0.0000  4 Ca 2.76, 4 Pt 2.76
Pt  0.7500  0.7500  0.7500  4 Li 2.76, 4 Ni 2.76
Ni  0.5000  0.5000  0.5000  4 Pt 2.76, 4 Ca 2.76
Ca  0.2500  0.2500  0.2500  4 Ni 2.76, 4 Li 2.76

M_tot, μB per formula unit: 0.00
Volume, Å³/f.u.: 64.4
Formation enthalpy at 0 K, meV/atom: -347



13.
The following is a DFT calculation (PBE) of crystalline RbLiCa2Ni at its relaxed geometry.

a = 5.5041 Å, b = 5.5041 Å, c = 5.7579 Å
α = 90.00°, β = 90.00°, γ = 90.00°
Last column: nearest neighbours and their distance in Å.
Fractional positions:
Rb  0.5000  0.5000  0.5000  4 Li 3.89, 8 Ca 3.98
Ca  0.0000  0.5000  0.0000  2 Ni 2.75
Ca  0.5000  0.0000  0.0000  2 Ni 2.75
Ni  0.0000  0.0000  0.0000  4 Ca 2.75, 2 Li 2.88
Li  0.0000  0.0000  0.5000  2 Ni 2.88

M_tot, μB per formula unit: 0.00
Volume, Å³/f.u.: 174.4
Formation enthalpy at 0 K, meV/atom: 159



14.
The following is a DFT calculation (PBE) of crystalline Li2CaNiRh at its relaxed geometry.

a = 4.3714 Å, b = 5.1100 Å, c = 4.3714 Å
α = 90.00°, β = 90.00°, γ = 90.00°
Last column: nearest neighbours and their distance in Å.
Fractional positions:
Li  0.5000  0.0000  0.0000  2 Ni 2.19
Li  0.0000  0.0000  0.5000  2 Ni 2.19
Ca  0.0000  0.5000  0.0000  2 Ni 2.55
Rh  0.5000  0.5000  0.5000  4 Ca 3.09, 8 Li 3.36
Ni  0.0000  0.0000  0.0000  4 Li 2.19

M_tot, μB per formula unit: 0.00
Volume, Å³/f.u.: 97.6
Formation enthalpy at 0 K, meV/atom: 483



15.
The following is a DFT calculation (PBE) of crystalline LiCaNi2Ru at its relaxed geometry.

a = 4.1168 Å, b = 4.4523 Å, c = 4.1168 Å
α = 90.00°, β = 90.00°, γ = 90.00°
Last column: nearest neighbours and their distance in Å.
Fractional positions:
Li  0.0000  0.0000  0.0000  4 Ni 2.06, 2 Ca 2.23
Ru  0.5000  0.5000  0.5000  4 Ca 2.91, 8 Ni 3.03
Ca  0.0000  0.5000  0.0000  2 Li 2.23
Ni  0.5000  0.0000  0.0000  2 Li 2.06
Ni  0.0000  0.0000  0.5000  2 Li 2.06

M_tot, μB per formula unit: 1.98
Volume, Å³/f.u.: 75.5
Formation enthalpy at 0 K, meV/atom: 875



16.
The following is a DFT calculation (PBE) of crystalline LiCa2Ni3Sb4 at its relaxed geometry.

a = 4.4691 Å, b = 4.4691 Å, c = 10.4439 Å
α = 90.00°, β = 90.00°, γ = 90.00°
Last column: nearest neighbours and their distance in Å.
Fractional positions:
Li  0.5000  0.5000  0.5000  4 Sb 2.64
Ni  0.5000  0.0000  0.8768  5 Sb 2.52-2.58
Ni  0.0000  0.0000  0.5000  4 Sb 2.64
Ni  0.0000  0.5000  0.1232  5 Sb 2.52-2.58
Ca  0.0000  0.5000  0.7414  8 Sb 3.35-3.51, 2 Li 3.37, 6 Ni 3.37-3.46
Ca  0.5000  0.0000  0.2586  8 Sb 3.35-3.51, 2 Li 3.37, 6 Ni 3.37-3.46
Sb  0.0000  0.0000  0.0000  4 Ni 2.58
Sb  0.5000  0.0000  0.6354  3 Ni 2.52-2.64, 2 Li 2.64
Sb  0.5000  0.5000  0.0000  4 Ni 2.58
Sb  0.0000  0.5000  0.3646  3 Ni 2.52-2.64, 2 Li 2.64

Uncorrected formation energy, meV per atom: -543
M_tot, μB per formula unit: 0.00
Volume, Å³/f.u.: 208.6



17.
The following is a DFT calculation (PBE) of crystalline LiCa2NiSb2 at its relaxed geometry.

a = 6.3429 Å, b = 6.3329 Å, c = 8.2967 Å
α = 112.44°, β = 112.47°, γ = 90.00°
Last column: nearest neighbours and their distance in Å.
Fractional positions:
Ca  0.4100  0.1556  0.3113  2 Ni 3.11, 5 Sb 3.13-3.35, 2 Li 3.14
Ca  0.0988  0.3444  0.6887  2 Ni 3.11, 5 Sb 3.13-3.35, 2 Li 3.14
Ca  0.9012  0.6556  0.3113  2 Ni 3.11, 5 Sb 3.13-3.35, 2 Li 3.14
Ca  0.5900  0.8444  0.6887  2 Ni 3.11, 5 Sb 3.13-3.35, 2 Li 3.14
Ni  0.5000  0.7500  0.0000  4 Sb 2.66
Ni  0.5000  0.2500  0.0000  4 Sb 2.66
Li  0.0000  0.2500  0.0000  4 Sb 2.75
Li  0.0000  0.7500  0.0000  4 Sb 2.75
Sb  0.8458  0.1086  0.2173  2 Ni 2.66, 2 Li 2.75
Sb  0.1542  0.8914  0.7827  2 Ni 2.66, 2 Li 2.75
Sb  0.6285  0.3914  0.7827  2 Ni 2.66, 2 Li 2.75
Sb  0.3715  0.6086  0.2173  2 Ni 2.66, 2 Li 2.75

Uncorrected formation energy, meV per atom: -741
M_tot, μB per formula unit: 0.00
Volume, Å³/f.u.: 140.2



18.
The following is a DFT calculation (PBE) of crystalline LiCa2ScNi at its relaxed geometry.

a = 5.5471 Å, b = 5.5471 Å, c = 4.8421 Å
α = 90.00°, β = 90.00°, γ = 90.00°
Last column: nearest neighbours and their distance in Å.
Fractional positions:
Ca  0.5000  0.0000  0.0000  2 Ni 2.77
Ca  0.0000  0.5000  0.0000  2 Ni 2.77
Ni  0.0000  0.0000  0.0000  2 Sc 2.42
Sc  0.0000  0.0000  0.5000  2 Ni 2.42
Li  0.5000  0.5000  0.5000  8 Ca 3.68, 4 Sc 3.92

M_tot, μB per formula unit: 0.00
Volume, Å³/f.u.: 149.0
Formation enthalpy at 0 K, meV/atom: 26



19.
The following is a DFT calculation (PBE) of crystalline LiCaSiNi at its relaxed geometry.

a = 3.9784 Å, b = 3.9784 Å, c = 10.7021 Å
α = 90.00°, β = 90.00°, γ = 90.00°
Last column: nearest neighbours and their distance in Å.
Fractional positions:
Ni  0.2500  0.7500  0.0000  4 Si 2.30
Ni  0.7500  0.2500  0.0000  4 Si 2.30
Ca  0.7500  0.7500  0.2231  4 Si 3.07, 4 Ni 3.11
Ca  0.2500  0.2500  0.7769  4 Si 3.07, 4 Ni 3.11
Si  0.7500  0.7500  0.8920  4 Ni 2.30
Si  0.2500  0.2500  0.1080  4 Ni 2.30
Li  0.7500  0.2500  0.5000  4 Li 2.81
Li  0.2500  0.7500  0.5000  4 Li 2.81

Uncorrected formation energy, meV per atom: -338
M_tot, μB per formula unit: 0.00
Volume, Å³/f.u.: 84.7



20.
The following is a DFT calculation (PBE) of crystalline Li2CaNiSn at its relaxed geometry.

a = 4.7629 Å, b = 4.7629 Å, c = 4.8257 Å
α = 90.00°, β = 90.00°, γ = 90.00°
Last column: nearest neighbours and their distance in Å.
Fractional positions:
Li  0.0000  0.5000  0.0000  2 Ni 2.38
Li  0.5000  0.0000  0.0000  2 Ni 2.38
Sn  0.0000  0.0000  0.5000  2 Ni 2.41
Ni  0.0000  0.0000  0.0000  4 Li 2.38, 2 Sn 2.41
Ca  0.5000  0.5000  0.5000  4 Sn 3.37, 8 Li 3.39

M_tot, μB per formula unit: 0.00
Volume, Å³/f.u.: 109.5
Formation enthalpy at 0 K, meV/atom: -198